Record 1
A plane-wave DFT calculation with PBE was carried out for crystalline RbGaFe at its relaxed geometry.

a b c (Å): 4.957 4.957 4.957
angles (deg): 60.00 60.00 60.00
Positions (direct):
1 Ga 0.250 0.250 0.250
2 Rb 0.750 0.750 0.750
3 Fe 0.000 0.000 0.000

## Properties
E (eV per atom): -3.03
Offset from the most stable computed form (eV/f.u.): 0.00
Total magnetic moment (Bohr magnetons per cell): 2.31


Record 2
A plane-wave DFT calculation with PBE was carried out for crystalline Hf2Sn5 at its relaxed geometry.

a b c (Å): 4.229 4.293 18.283
angles (deg): 90.00 90.00 90.00
Positions (direct):
1 Sn 0.500 0.500 0.919
2 Sn 0.000 0.000 0.920
3 Sn 0.500 0.000 0.232
4 Sn 0.500 0.500 0.080
5 Sn 0.000 0.000 0.652
6 Sn 0.500 0.500 0.348
7 Sn 0.500 0.000 0.500
8 Sn 0.000 0.500 0.768
9 Sn 0.000 0.500 0.500
10 Sn 0.000 0.000 0.081
11 Hf 0.000 0.000 0.374
12 Hf 0.500 0.000 0.798
13 Hf 0.500 0.500 0.626
14 Hf 0.000 0.500 0.202

## Properties
E (eV per atom): -5.85
Total magnetic moment (Bohr magnetons per cell): 0.01


Record 3
A plane-wave DFT calculation with PBE was carried out for crystalline RbHoSO at its relaxed geometry.

a b c (Å): 4.361 8.277 6.585
angles (deg): 90.00 90.00 90.00
Positions (direct):
1 S 0.000 0.706 0.114
2 S 0.000 0.294 0.614
3 Ho 0.500 0.876 0.043
4 Ho 0.500 0.124 0.543
5 O 0.500 0.082 0.228
6 O 0.500 0.918 0.728
7 Rb 0.000 0.692 0.606
8 Rb 0.000 0.308 0.106

## Properties
E (eV per atom): -5.87
Offset from the most stable computed form (eV/f.u.): 0.30
Total magnetic moment (Bohr magnetons per cell): 0.00


Record 4
A plane-wave DFT calculation with PBE was carried out for crystalline Gd2AuSe3 at its relaxed geometry.

a b c (Å): 7.899 3.997 18.197
angles (deg): 90.00 90.00 90.00
Positions (direct):
1 Se 0.549 0.250 0.418
2 Se 0.049 0.250 0.082
3 Se 0.810 0.250 0.258
4 Se 0.834 0.250 0.611
5 Se 0.166 0.750 0.389
6 Se 0.310 0.250 0.242
7 Se 0.690 0.750 0.758
8 Se 0.951 0.750 0.918
9 Se 0.451 0.750 0.582
10 Se 0.334 0.250 0.889
11 Se 0.666 0.750 0.111
12 Se 0.190 0.750 0.742
13 Gd 0.547 0.750 0.297
14 Gd 0.275 0.750 0.001
15 Gd 0.047 0.750 0.203
16 Gd 0.775 0.750 0.499
17 Gd 0.953 0.250 0.797
18 Gd 0.225 0.250 0.501
19 Gd 0.453 0.250 0.703
20 Gd 0.725 0.250 0.999
21 Au 0.571 0.750 0.896
22 Au 0.429 0.250 0.104
23 Au 0.929 0.250 0.396
24 Au 0.071 0.750 0.604

## Properties
E (eV per atom): -5.20
Offset from the most stable computed form (eV/f.u.): 0.00
Total magnetic moment (Bohr magnetons per cell): 0.00